[1]
DFT (GGA-PBE) results for a relaxed structure of PaBeCd.

extended XYZ file:
```
3
Lattice="-2.514 2.338 3.313 -4.293 1.781 -1.079 -3.934 -1.973 1.844" Properties=species:S:1:pos:R:3 pbc="T T T"
Be -2.685 0.537 1.020
Cd -8.055 1.610 3.059
Pa 0.000 0.000 0.000
```

Computed properties:
* excess energy over the best structure of this formula in the dataset: 2.21 eV per formula unit
* SG: F-43m, No. 216

[2]
DFT (GGA-PBE) results for a relaxed structure of PaBeCd.

extended XYZ file:
```
3
Lattice="0.000 3.174 3.174 3.174 0.000 3.174 3.174 3.174 0.000" Properties=species:S:1:pos:R:3 pbc="T T T"
Be 0.000 0.000 0.000
Cd 1.587 1.587 1.587
Pa 4.761 4.761 4.761
```

Computed properties:
* excess energy over the best structure of this formula in the dataset: 0.00 eV per formula unit
* SG: F-43m, No. 216

[3]
DFT (GGA-PBE) results for a relaxed structure of BeCdPtPb.

extended XYZ file:
```
4
Lattice="0.000 3.354 3.354 3.354 0.000 3.354 3.354 3.354 0.000" Properties=species:S:1:pos:R:3 pbc="T T T"
Be 5.030 5.030 5.030
Cd 1.677 1.677 1.677
Pb 0.000 0.000 0.000
Pt 3.354 3.354 3.354
```

Computed properties:
* excess energy over the best structure of this formula in the dataset: 0.00 eV per formula unit
* SG: F-43m, No. 216

[4]
DFT (GGA-PBE) results for a relaxed structure of Be2CdPd.

extended XYZ file:
```
4
Lattice="0.000 3.012 3.012 3.012 0.000 3.012 3.012 3.012 0.000" Properties=species:S:1:pos:R:3 pbc="T T T"
Be 0.000 0.000 0.000
Be 1.506 1.506 1.506
Cd 3.012 3.012 3.012
Pd 4.519 4.519 4.519
```

Computed properties:
* raw total energy: -0.12024 Ha/atom
* SG: F-43m, No. 216

Number 3 is which compound?
BeCdPtPb